1.
The following is a PBE calculation of an optimized crystal structure of SmZn3Ir, from Alexandria.

Cell lengths 6.6616, 6.6616, 6.6616 Å; angles 136.06, 105.00, 91.21 degrees
Sites, in units of the cell vectors:
Sm: 0.2627 0.0127 0.2500
Sm: 0.7373 0.9873 0.7500
Zn: 0.0767 0.3267 0.7500
Zn: 0.2676 0.0000 0.7676
Zn: 0.2676 0.5000 0.2676
Zn: 0.7324 0.0000 0.2324
Zn: 0.7324 0.5000 0.7324
Zn: 0.9233 0.6733 0.2500
Ir: 0.0000 0.5000 0.5000
Ir: 0.5000 0.5000 0.0000

- calculated total energy (eV for the cell shown) = -37.7


2.
The following is a PBE calculation of an optimized crystal structure of SmZn4Ir, from Alexandria.

Cell lengths 7.1061, 7.1061, 6.9173 Å; angles 90.00, 90.00, 141.02 degrees
Sites, in units of the cell vectors:
Sm: 0.1157 0.8843 0.7500
Sm: 0.8843 0.1157 0.2500
Zn: 0.0982 0.9018 0.2500
Zn: 0.2751 0.7249 0.0772
Zn: 0.2751 0.7249 0.4228
Zn: 0.5000 0.5000 0.0000
Zn: 0.5000 0.5000 0.5000
Zn: 0.7249 0.2751 0.5772
Zn: 0.7249 0.2751 0.9228
Zn: 0.9018 0.0982 0.7500
Ir: 0.3563 0.6437 0.7500
Ir: 0.6437 0.3563 0.2500

- energy above the lowest structure with this stoichiometry (meV per atom) = 129


3.
The following is a PBE calculation of an optimized crystal structure of Sm5ZnIr2, from Alexandria.

Cell lengths 8.7286, 8.7286, 8.7286 Å; angles 125.99, 125.99, 79.91 degrees
Sites, in units of the cell vectors:
Sm: 0.0000 0.0000 0.0000
Sm: 0.0259 0.5259 0.8244
Sm: 0.2015 0.0259 0.5000
Sm: 0.2985 0.7985 0.8244
Sm: 0.4741 0.2985 0.5000
Sm: 0.5000 0.5000 0.0000
Sm: 0.5259 0.7015 0.5000
Sm: 0.7015 0.2015 0.1756
Sm: 0.7985 0.9741 0.5000
Sm: 0.9741 0.4741 0.1756
Zn: 0.2500 0.2500 0.0000
Zn: 0.7500 0.7500 0.0000
Ir: 0.1376 0.3624 0.5000
Ir: 0.3624 0.8624 0.2248
Ir: 0.6376 0.1376 0.7752
Ir: 0.8624 0.6376 0.5000

- calculated total energy (eV for the cell shown) = -93.6


4.
The following is a PBE calculation of an optimized crystal structure of SmZn2Ir, from Alexandria.

Cell lengths 4.2971, 4.2971, 14.7253 Å; angles 90.00, 90.00, 120.00 degrees
Sites, in units of the cell vectors:
Sm: 0.0000 0.0000 0.0000
Sm: 0.3333 0.6667 0.6667
Sm: 0.6667 0.3333 0.3333
Zn: 0.0000 0.0000 0.2107
Zn: 0.0000 0.0000 0.7893
Zn: 0.3333 0.6667 0.4559
Zn: 0.3333 0.6667 0.8774
Zn: 0.6667 0.3333 0.1226
Zn: 0.6667 0.3333 0.5441
Ir: 0.0000 0.0000 0.5000
Ir: 0.3333 0.6667 0.1667
Ir: 0.6667 0.3333 0.8333

- calculated total energy (eV for the cell shown) = -52.6


5.
The following is a PBE calculation of an optimized crystal structure of Sm2ZnIr2, from Alexandria.

Cell lengths 5.7440, 5.7440, 7.9973 Å; angles 104.07, 104.07, 57.48 degrees
Sites, in units of the cell vectors:
Sm: 0.0060 0.7034 0.8531
Sm: 0.2966 0.9940 0.6469
Sm: 0.7034 0.0060 0.3531
Sm: 0.9940 0.2966 0.1469
Zn: 0.3678 0.6322 0.2500
Zn: 0.6322 0.3678 0.7500
Ir: 0.2134 0.5118 0.4851
Ir: 0.4882 0.7866 0.0149
Ir: 0.5118 0.2134 0.9851
Ir: 0.7866 0.4882 0.5149

- calculated total energy (eV for the cell shown) = -63.7


6.
The following is a PBE calculation of an optimized crystal structure of Sm2Zn2Ir, from Alexandria.

Cell lengths 5.7161, 5.7161, 11.1997 Å; angles 109.89, 109.89, 41.08 degrees
Sites, in units of the cell vectors:
Sm: 0.0054 0.0054 0.3382
Sm: 0.1954 0.1954 0.1249
Sm: 0.8046 0.8046 0.8751
Sm: 0.9946 0.9946 0.6618
Zn: 0.3316 0.3316 0.4511
Zn: 0.4762 0.4762 0.1082
Zn: 0.5238 0.5238 0.8918
Zn: 0.6684 0.6684 0.5489
Ir: 0.2997 0.2997 0.6864
Ir: 0.7003 0.7003 0.3136

- calculated total energy (eV for the cell shown) = -46.8


7.
The following is a PBE calculation of an optimized crystal structure of SmZn4Ir2, from Alexandria.

Cell lengths 7.6916, 7.6916, 4.1061 Å; angles 90.00, 90.00, 90.00 degrees
Sites, in units of the cell vectors:
Sm: 0.0000 0.0000 0.0000
Sm: 0.5000 0.5000 0.5000
Zn: 0.0923 0.3469 0.5000
Zn: 0.1531 0.5923 0.0000
Zn: 0.3469 0.0923 0.5000
Zn: 0.4077 0.8469 0.0000
Zn: 0.5923 0.1531 0.0000
Zn: 0.6531 0.9077 0.5000
Zn: 0.8469 0.4077 0.0000
Zn: 0.9077 0.6531 0.5000
Ir: 0.2139 0.7861 0.5000
Ir: 0.2861 0.2861 0.0000
Ir: 0.7139 0.7139 0.0000
Ir: 0.7861 0.2139 0.5000

- calculated total energy (eV for the cell shown) = -60.6


8.
The following is a PBE calculation of an optimized crystal structure of Sm4ZnIr, from Alexandria.

Cell lengths 8.0289, 8.0289, 8.0289 Å; angles 106.84, 106.84, 114.88 degrees
Sites, in units of the cell vectors:
Sm: 0.1666 0.4702 0.6964
Sm: 0.2202 0.0238 0.8036
Sm: 0.2202 0.4166 0.1964
Sm: 0.2986 0.0000 0.2986
Sm: 0.7014 0.0000 0.7014
Sm: 0.7500 0.5486 0.7986
Sm: 0.7500 0.9514 0.2014
Sm: 0.7738 0.4702 0.3036
Zn: 0.2325 0.7325 0.5000
Zn: 0.4825 0.4825 0.0000
Ir: 0.7346 0.2346 0.5000
Ir: 0.9846 0.9846 0.0000

- energy above the lowest structure with this stoichiometry (meV per atom) = 245


9.
The following is a PBE calculation of an optimized crystal structure of Sm3Zn8Ir, from Alexandria.

Cell lengths 9.6348, 9.6348, 9.6348 Å; angles 31.95, 31.95, 31.95 degrees
Sites, in units of the cell vectors:
Sm: 0.0000 0.0000 0.0000
Sm: 0.1267 0.1267 0.1267
Sm: 0.5165 0.5165 0.5165
Zn: 0.0609 0.5671 0.5671
Zn: 0.0725 0.0725 0.5694
Zn: 0.0725 0.5694 0.0725
Zn: 0.3172 0.3172 0.3172
Zn: 0.5671 0.0609 0.5671
Zn: 0.5671 0.5671 0.0609
Zn: 0.5694 0.0725 0.0725
Zn: 0.8200 0.8200 0.8200
Ir: 0.6201 0.6201 0.6201

- calculated total energy (eV for the cell shown) = -36.6


10.
The following is a PBE calculation of an optimized crystal structure of SmZn4Ir, from Alexandria.

Cell lengths 5.1652, 5.1652, 5.1652 Å; angles 60.00, 60.00, 60.00 degrees
Sites, in units of the cell vectors:
Sm: 0.0000 0.0000 0.0000
Zn: 0.3763 0.3763 0.3763
Zn: 0.3763 0.3763 0.8710
Zn: 0.3763 0.8710 0.3763
Zn: 0.8710 0.3763 0.3763
Ir: 0.7500 0.7500 0.7500

- energy above the lowest structure with this stoichiometry (meV per atom) = 0


11.
The following is a PBE calculation of an optimized crystal structure of Sm3Zn7Ir4, from Alexandria.

Cell lengths 8.0796, 8.0796, 9.6200 Å; angles 123.68, 123.68, 30.28 degrees
Sites, in units of the cell vectors:
Sm: 0.0000 0.0000 0.0000
Sm: 0.3000 0.3000 0.2876
Sm: 0.7000 0.7000 0.7124
Zn: 0.0000 0.0000 0.5000
Zn: 0.1522 0.1522 0.4229
Zn: 0.3234 0.3234 0.9820
Zn: 0.4915 0.4915 0.7043
Zn: 0.5085 0.5085 0.2957
Zn: 0.6766 0.6766 0.0180
Zn: 0.8478 0.8478 0.5771
Ir: 0.1107 0.1107 0.8197
Ir: 0.3360 0.3360 0.7237
Ir: 0.6640 0.6640 0.2763
Ir: 0.8893 0.8893 0.1803

- calculated total energy (eV for the cell shown) = -65.0


12.
The following is a PBE calculation of an optimized crystal structure of Sm12Zn6Ir, from Alexandria.

Cell lengths 8.1846, 8.1846, 8.1846 Å; angles 93.58, 93.58, 93.58 degrees
Sites, in units of the cell vectors:
Sm: 0.0459 0.6976 0.9325
Sm: 0.0675 0.9541 0.3024
Sm: 0.1775 0.5349 0.4063
Sm: 0.3024 0.0675 0.9541
Sm: 0.4063 0.1775 0.5349
Sm: 0.4651 0.5937 0.8225
Sm: 0.5349 0.4063 0.1775
Sm: 0.5937 0.8225 0.4651
Sm: 0.6976 0.9325 0.0459
Sm: 0.8225 0.4651 0.5937
Sm: 0.9325 0.0459 0.6976
Sm: 0.9541 0.3024 0.0675
Zn: 0.1566 0.3568 0.7636
Zn: 0.2364 0.8434 0.6432
Zn: 0.3568 0.7636 0.1566
Zn: 0.6432 0.2364 0.8434
Zn: 0.7636 0.1566 0.3568
Zn: 0.8434 0.6432 0.2364
Ir: 0.5000 0.5000 0.5000

- calculated total energy (eV for the cell shown) = -75.9


| no. | spin magnetization (μB per atom) |
| --- | --- |
| 1 | 0.000 |
| 2 | 0.000 |
| 3 | 0.000 |
| 4 | 0.000 |
| 5 | 0.000 |
| 6 | 0.000 |
| 7 | 0.000 |
| 8 | 0.000 |
| 9 | 0.000 |
| 10 | 0.000 |
| 11 | 0.000 |
| 12 | 0.000 |